# 1
Crystalline La3GaCo3 at its relaxed geometry. Source: Alexandria via LeMat-Bulk, functional GGA-PBE.

Unit cell a=4.142 b=5.475 c=13.906 alpha=90.00 beta=90.00 gamma=112.23
Fractional positions:
La 0.213 0.425 0.895
La 0.787 0.575 0.105
La 0.213 0.425 0.605
La 0.787 0.575 0.395
La 0.498 0.996 0.750
La 0.502 0.004 0.250
Ga 0.500 0.000 0.000
Ga 0.500 0.000 0.500
Co 0.926 0.851 0.914
Co 0.074 0.149 0.086
Co 0.926 0.851 0.586
Co 0.074 0.149 0.414
Co 0.813 0.625 0.750
Co 0.187 0.375 0.250

## Properties
- DFT total energy (eV/atom) = -5.8190
- size of the total moment (μB/cell) = 0.00

---

# 2
Crystalline La3Ga2Co at its relaxed geometry. Source: Alexandria via LeMat-Bulk, functional GGA-PBE.

Unit cell a=6.694 b=6.694 c=7.406 alpha=78.76 beta=78.76 gamma=80.28
Fractional positions:
La 0.400 0.600 0.250
La 0.600 0.400 0.750
La 0.080 0.230 0.026
La 0.770 0.920 0.474
La 0.920 0.770 0.974
La 0.230 0.080 0.526
Ga 0.927 0.474 0.359
Ga 0.526 0.073 0.141
Ga 0.474 0.927 0.859
Ga 0.073 0.526 0.641
Co 0.723 0.277 0.250
Co 0.277 0.723 0.750

## Properties
- DFT total energy (eV/atom) = -5.0247
- size of the total moment (μB/cell) = 0.00

---

Question: Look up the size of the total moment of the first one.
Answer: 0.00 μB/cell